Entry 1:
First-principles (SCAN) data for CsTlO at its PBEsol-relaxed geometry, as listed in the Alexandria database.

Total moment ... 0.00 μB/atom
E_form (uncorrected) ... -1084 meV/atom

The structure in CIF format:
```
data_CsTlO
_chemical_formula_sum 'Cs4 Tl4 O4'
_cell_length_a 13.995
_cell_length_b 3.748
_cell_length_c 6.530
_cell_angle_alpha 90.00
_cell_angle_beta 106.09
_cell_angle_gamma 90.00
_space_group_name_H-M_alt 'C 1 2/m 1'
_space_group_IT_number 12
loop_
_space_group_symop_operation_xyz
'x,y,z'
'-x,-y,-z'
'-x,y,-z'
'x,-y,z'
'x+1/2,y+1/2,z'
'-x+1/2,-y+1/2,-z'
'-x+1/2,y+1/2,-z'
'x+1/2,-y+1/2,z'
loop_
_atom_site_label
_atom_site_type_symbol
_atom_site_fract_x
_atom_site_fract_y
_atom_site_fract_z
Cs1 Cs 0.121 0.000 0.342
Tl1 Tl 0.148 0.500 0.858
O1 O 0.248 0.000 0.792
```

***

Entry 2:
First-principles (SCAN) data for TcWNF2 at its PBEsol-relaxed geometry, as listed in the Alexandria database.

Total moment ... 0.86 μB/atom
E_form (uncorrected) ... 462 meV/atom

The structure in CIF format:
```
data_TcWNF2
_chemical_formula_sum 'Tc1 W1 N1 F2'
_cell_length_a 4.110
_cell_length_b 4.110
_cell_length_c 3.816
_cell_angle_alpha 90.00
_cell_angle_beta 90.00
_cell_angle_gamma 90.00
_space_group_name_H-M_alt 'P 4/m m m'
_space_group_IT_number 123
_space_group_name_Hall '-P 4 2'
loop_
_atom_site_label
_atom_site_type_symbol
_atom_site_fract_x
_atom_site_fract_y
_atom_site_fract_z
Tc1 Tc 0.000 0.000 0.000
W1 W 0.500 0.500 0.500
N1 N 0.000 0.000 0.500
F1 F 0.000 0.500 0.000
```

***

Entry 3:
First-principles (SCAN) data for MnH2Pd at its PBEsol-relaxed geometry, as listed in the Alexandria database.

Total moment ... 0.99 μB/atom
Total DFT energy (no corrections) ... -14.63 eV per atom

The structure in CIF format:
```
data_MnH2Pd
_chemical_formula_sum 'Mn4 H8 Pd4'
_cell_length_a 4.061
_cell_length_b 4.061
_cell_length_c 8.340
_cell_angle_alpha 90.00
_cell_angle_beta 90.00
_cell_angle_gamma 90.00
_space_group_name_H-M_alt 'I -4 2 d'
_space_group_IT_number 122
_space_group_name_Hall 'I -4 2bw'
loop_
_atom_site_label
_atom_site_type_symbol
_atom_site_fract_x
_atom_site_fract_y
_atom_site_fract_z
Mn1 Mn 0.000 0.000 0.000
H1 H 0.234 0.250 0.125
Pd1 Pd 0.000 0.000 0.500
```

***

Entry 4:
First-principles (SCAN) data for FeNi2W at its PBEsol-relaxed geometry, as listed in the Alexandria database.

Offset from the most stable computed form ... 0 meV/atom
Total moment ... 0.43 μB/atom
ΔH_f (0 K) ... 3 kJ/mol of atoms

The structure in CIF format:
```
data_FeNi2W
_chemical_formula_sum 'Fe2 Ni4 W2'
_cell_length_a 3.505
_cell_length_b 3.505
_cell_length_c 7.490
_cell_angle_alpha 90.00
_cell_angle_beta 90.00
_cell_angle_gamma 90.00
_space_group_name_H-M_alt 'I 4/m m m'
_space_group_IT_number 139
_space_group_name_Hall '-I 4 2'
loop_
_atom_site_label
_atom_site_type_symbol
_atom_site_fract_x
_atom_site_fract_y
_atom_site_fract_z
Fe1 Fe 0.000 0.000 0.000
Ni1 Ni 0.000 0.500 0.250
W1 W 0.000 0.000 0.500
```

***

Entry 5:
First-principles (SCAN) data for Sb2MoW at its PBEsol-relaxed geometry, as listed in the Alexandria database.

Offset from the most stable computed form ... 10 meV/atom
Total moment ... 0.00 μB/atom
E_form (uncorrected) ... 674 meV/atom

The structure in CIF format:
```
data_Sb2MoW
_chemical_formula_sum 'Sb4 Mo2 W2'
_cell_length_a 3.256
_cell_length_b 4.507
_cell_length_c 10.048
_cell_angle_alpha 90.00
_cell_angle_beta 90.00
_cell_angle_gamma 90.00
_space_group_name_H-M_alt 'I m m 2'
_space_group_IT_number 44
loop_
_space_group_symop_operation_xyz
'x,y,z'
'-x,-y,z'
'-x,y,z'
'x,-y,z'
'x+1/2,y+1/2,z+1/2'
'-x+1/2,-y+1/2,z+1/2'
'-x+1/2,y+1/2,z+1/2'
'x+1/2,-y+1/2,z+1/2'
loop_
_atom_site_label
_atom_site_type_symbol
_atom_site_fract_x
_atom_site_fract_y
_atom_site_fract_z
Sb1 Sb 0.000 0.000 0.000
Sb2 Sb 0.000 0.500 0.217
Mo1 Mo 0.000 0.000 0.482
W1 W 0.000 0.500 0.741
```

***

Entry 6:
First-principles (SCAN) data for AsPRu2 at its PBEsol-relaxed geometry, as listed in the Alexandria database.

Offset from the most stable computed form ... 297 meV/atom
Total moment ... 0.00 μB/atom
ΔH_f (0 K) ... -3 kJ/mol of atoms

The structure in CIF format:
```
data_AsPRu2
_chemical_formula_sum 'As1 P1 Ru2'
_cell_length_a 3.000
_cell_length_b 3.408
_cell_length_c 5.720
_cell_angle_alpha 90.00
_cell_angle_beta 90.00
_cell_angle_gamma 90.00
_space_group_name_H-M_alt 'P m m m'
_space_group_IT_number 47
loop_
_space_group_symop_operation_xyz
'x,y,z'
'-x,-y,-z'
'-x,-y,z'
'x,y,-z'
'x,-y,-z'
'-x,y,z'
'-x,y,-z'
'x,-y,z'
loop_
_atom_site_label
_atom_site_type_symbol
_atom_site_fract_x
_atom_site_fract_y
_atom_site_fract_z
As1 As 0.000 0.000 0.000
P1 P 0.500 0.000 0.500
Ru1 Ru 0.500 0.500 0.245
```

***

Entry 7:
First-principles (SCAN) data for RbTiGa2C at its PBEsol-relaxed geometry, as listed in the Alexandria database.

Total moment ... 0.18 μB/atom
ΔH_f (0 K) ... 79 kJ/mol of atoms

The structure in CIF format:
```
data_RbTiGa2C
_chemical_formula_sum 'Rb1 Ti1 Ga2 C1'
_cell_length_a 4.898
_cell_length_b 4.898
_cell_length_c 4.188
_cell_angle_alpha 90.00
_cell_angle_beta 90.00
_cell_angle_gamma 90.00
_space_group_name_H-M_alt 'P 4/m m m'
_space_group_IT_number 123
_space_group_name_Hall '-P 4 2'
loop_
_atom_site_label
_atom_site_type_symbol
_atom_site_fract_x
_atom_site_fract_y
_atom_site_fract_z
Rb1 Rb 0.000 0.000 0.000
Ti1 Ti 0.500 0.500 0.000
Ga1 Ga 0.000 0.500 0.500
C1 C 0.500 0.500 0.500
```

***

Entry 8:
First-principles (SCAN) data for NiHgPt at its PBEsol-relaxed geometry, as listed in the Alexandria database.

Total moment ... 0.32 μB/atom
ΔH_f (0 K) ... 59 kJ/mol of atoms

The structure in CIF format:
```
data_NiHgPt
_chemical_formula_sum 'Ni4 Hg4 Pt4'
_cell_length_a 6.026
_cell_length_b 6.026
_cell_length_c 6.026
_cell_angle_alpha 90.00
_cell_angle_beta 90.00
_cell_angle_gamma 90.00
_space_group_name_H-M_alt 'F -4 3 m'
_space_group_IT_number 216
_space_group_name_Hall 'F -4 2 3'
loop_
_atom_site_label
_atom_site_type_symbol
_atom_site_fract_x
_atom_site_fract_y
_atom_site_fract_z
Ni1 Ni 0.000 0.000 0.000
Hg1 Hg 0.250 0.250 0.750
Pt1 Pt 0.000 0.000 0.500
```

***

Number 1: volume 27.43 Å³/atom. Number 2: volume 12.89 Å³/atom. Number 3: volume 8.60 Å³/atom. Number 4: volume 11.50 Å³/atom. Number 5: volume 18.43 Å³/atom. Number 6: volume 14.62 Å³/atom. Number 7: volume 20.09 Å³/atom. Number 8: volume 18.23 Å³/atom.